(1)
# Ge2AsPbO8 | Alexandria via LeMat-Bulk | PBE | relaxed
data_Ge2AsPbO8
_cell_length_a 4.7894
_cell_length_b 4.7894
_cell_length_c 25.1279
_cell_angle_alpha 90.00
_cell_angle_beta 90.00
_cell_angle_gamma 120.00
_symmetry_space_group_name_H-M 'R 3 2'
_symmetry_Int_Tables_number 155
_symmetry_space_group_name_Hall 'R 3 2"'
loop_
_atom_site_label
_atom_site_type_symbol
_atom_site_fract_x
_atom_site_fract_y
_atom_site_fract_z
Ge1 Ge 0.0000 0.0000 0.2369
As1 As 0.0000 0.0000 0.5000
Pb1 Pb 0.0000 0.0000 0.0000
O1 O 0.0000 0.0000 0.3061
O2 O 0.0043 0.3029 0.5479
# Uncorrected energy in eV/f.u.: -69.78
# E_form (uncorrected) in meV/atom: -1043


(2)
# GeAs2PbO8 | Alexandria via LeMat-Bulk | PBE | relaxed
data_GeAs2PbO8
_cell_length_a 4.8516
_cell_length_b 4.8516
_cell_length_c 24.2183
_cell_angle_alpha 90.00
_cell_angle_beta 90.00
_cell_angle_gamma 120.00
_symmetry_space_group_name_H-M 'R 3 2'
_symmetry_Int_Tables_number 155
_symmetry_space_group_name_Hall 'R 3 2"'
loop_
_atom_site_label
_atom_site_type_symbol
_atom_site_fract_x
_atom_site_fract_y
_atom_site_fract_z
Ge1 Ge 0.0000 0.0000 0.0000
As1 As 0.0000 0.0000 0.2607
Pb1 Pb 0.0000 0.0000 0.5000
O1 O 0.0000 0.0000 0.1902
O2 O 0.0108 0.3100 0.9477
# Uncorrected energy in eV/f.u.: -71.31
# E_form (uncorrected) in meV/atom: -1168


(3)
# Ge2AsPdO | Alexandria via LeMat-Bulk | PBE | relaxed
data_Ge2AsPdO
_cell_length_a 4.4859
_cell_length_b 4.4859
_cell_length_c 4.2313
_cell_angle_alpha 90.00
_cell_angle_beta 90.00
_cell_angle_gamma 90.00
_symmetry_space_group_name_H-M 'P 4/m m m'
_symmetry_Int_Tables_number 123
_symmetry_space_group_name_Hall '-P 4 2'
loop_
_atom_site_label
_atom_site_type_symbol
_atom_site_fract_x
_atom_site_fract_y
_atom_site_fract_z
Ge1 Ge 0.0000 0.5000 0.0000
As1 As 0.0000 0.0000 0.5000
Pd1 Pd 0.5000 0.5000 0.5000
O1 O 0.5000 0.5000 0.0000
# Relative energy among the computed polymorphs in meV per atom: 0
# Uncorrected energy in eV/f.u.: -24.10
# E_form (uncorrected) in meV/atom: -12


(4)
# Ge2AsPdO | Alexandria via LeMat-Bulk | PBE | relaxed
data_Ge2AsPdO
_cell_length_a 5.0130
_cell_length_b 5.0130
_cell_length_c 3.6481
_cell_angle_alpha 90.00
_cell_angle_beta 90.00
_cell_angle_gamma 90.00
_symmetry_space_group_name_H-M 'P 4/m m m'
_symmetry_Int_Tables_number 123
_symmetry_space_group_name_Hall '-P 4 2'
loop_
_atom_site_label
_atom_site_type_symbol
_atom_site_fract_x
_atom_site_fract_y
_atom_site_fract_z
Ge1 Ge 0.0000 0.5000 0.0000
As1 As 0.0000 0.0000 0.0000
Pd1 Pd 0.5000 0.5000 0.5000
O1 O 0.0000 0.0000 0.5000
# Relative energy among the computed polymorphs in meV per atom: 256
# Uncorrected energy in eV/f.u.: -22.82
# E_form (uncorrected) in meV/atom: 244


(5)
# RbGe2AsO6 | Alexandria via LeMat-Bulk | PBE | relaxed
data_RbGe2AsO6
_cell_length_a 11.0278
_cell_length_b 10.3307
_cell_length_c 5.8688
_cell_angle_alpha 90.00
_cell_angle_beta 106.65
_cell_angle_gamma 90.00
_symmetry_space_group_name_H-M 'C 1 2/c 1'
_symmetry_Int_Tables_number 15
_symmetry_space_group_name_Hall '-C 2yc'
loop_
_atom_site_label
_atom_site_type_symbol
_atom_site_fract_x
_atom_site_fract_y
_atom_site_fract_z
Rb1 Rb 0.0000 0.1096 0.2500
Ge1 Ge 0.2499 0.0960 0.8198
As1 As 0.0000 0.3131 0.7500
O1 O 0.1083 0.3226 0.1119
O2 O 0.1110 0.1936 0.6928
O3 O 0.2227 0.0203 0.0795
# Uncorrected energy in eV/f.u.: -59.28
# E_form (uncorrected) in meV/atom: -1468


(6)
# GeAsSe2O | Alexandria via LeMat-Bulk | PBE | relaxed
data_GeAsSe2O
_cell_length_a 4.5333
_cell_length_b 4.5333
_cell_length_c 4.4671
_cell_angle_alpha 90.00
_cell_angle_beta 90.00
_cell_angle_gamma 90.00
_symmetry_space_group_name_H-M 'P 4/m m m'
_symmetry_Int_Tables_number 123
_symmetry_space_group_name_Hall '-P 4 2'
loop_
_atom_site_label
_atom_site_type_symbol
_atom_site_fract_x
_atom_site_fract_y
_atom_site_fract_z
Ge1 Ge 0.0000 0.0000 0.0000
As1 As 0.5000 0.5000 0.0000
Se1 Se 0.0000 0.5000 0.5000
O1 O 0.5000 0.5000 0.5000
# Relative energy among the computed polymorphs in meV per atom: 0
# Uncorrected energy in eV/f.u.: -19.32
# E_form (uncorrected) in meV/atom: 375


(7)
# GeAsSe2O | Alexandria via LeMat-Bulk | PBE | relaxed
data_GeAsSe2O
_cell_length_a 4.8666
_cell_length_b 4.8666
_cell_length_c 5.0551
_cell_angle_alpha 90.00
_cell_angle_beta 90.00
_cell_angle_gamma 90.00
_symmetry_space_group_name_H-M 'P 4/m m m'
_symmetry_Int_Tables_number 123
_symmetry_space_group_name_Hall '-P 4 2'
loop_
_atom_site_label
_atom_site_type_symbol
_atom_site_fract_x
_atom_site_fract_y
_atom_site_fract_z
Ge1 Ge 0.0000 0.0000 0.0000
As1 As 0.0000 0.0000 0.5000
Se1 Se 0.0000 0.5000 0.0000
O1 O 0.5000 0.5000 0.5000
# Relative energy among the computed polymorphs in meV per atom: 771
# Uncorrected energy in eV/f.u.: -15.47
# E_form (uncorrected) in meV/atom: 1145


(8)
# SiGeAs2O | Alexandria via LeMat-Bulk | PBE | relaxed
data_SiGeAs2O
_cell_length_a 5.1050
_cell_length_b 5.1050
_cell_length_c 3.5451
_cell_angle_alpha 90.00
_cell_angle_beta 90.00
_cell_angle_gamma 90.00
_symmetry_space_group_name_H-M 'P 4/m m m'
_symmetry_Int_Tables_number 123
_symmetry_space_group_name_Hall '-P 4 2'
loop_
_atom_site_label
_atom_site_type_symbol
_atom_site_fract_x
_atom_site_fract_y
_atom_site_fract_z
Si1 Si 0.0000 0.0000 0.0000
Ge1 Ge 0.5000 0.5000 0.5000
As1 As 0.0000 0.5000 0.5000
O1 O 0.5000 0.5000 0.0000
# Uncorrected energy in eV/f.u.: -22.79
# E_form (uncorrected) in meV/atom: 301


(9)
# SrGeAsO6 | Alexandria via LeMat-Bulk | PBE | relaxed
data_SrGeAsO6
_cell_length_a 5.0092
_cell_length_b 5.0092
_cell_length_c 5.4915
_cell_angle_alpha 90.00
_cell_angle_beta 90.00
_cell_angle_gamma 120.00
_symmetry_space_group_name_H-M 'P 3 1 2'
_symmetry_Int_Tables_number 149
_symmetry_space_group_name_Hall 'P 3 2'
loop_
_atom_site_label
_atom_site_type_symbol
_atom_site_fract_x
_atom_site_fract_y
_atom_site_fract_z
Sr1 Sr 0.0000 0.0000 0.0000
Ge1 Ge 0.6667 0.3333 0.5000
As1 As 0.3333 0.6667 0.5000
O1 O 0.0090 0.3836 0.6933
# Uncorrected energy in eV/f.u.: -55.86
# E_form (uncorrected) in meV/atom: -1685


(10)
# Tl2Ge2AsO6 | Alexandria via LeMat-Bulk | PBE | relaxed
data_Tl2Ge2AsO6
_cell_length_a 10.0854
_cell_length_b 5.8225
_cell_length_c 6.7461
_cell_angle_alpha 90.00
_cell_angle_beta 119.96
_cell_angle_gamma 90.00
_symmetry_space_group_name_H-M 'C 1 2/m 1'
_symmetry_Int_Tables_number 12
_symmetry_space_group_name_Hall '-C 2y'
loop_
_atom_site_label
_atom_site_type_symbol
_atom_site_fract_x
_atom_site_fract_y
_atom_site_fract_z
Tl1 Tl 0.2130 0.0000 0.1393
Ge1 Ge 0.0733 0.5000 0.2206
As1 As 0.0000 0.0000 0.5000
O1 O 0.0084 0.2396 0.2874
O2 O 0.2305 0.0000 0.7121
# Uncorrected energy in eV/f.u.: -59.54
# E_form (uncorrected) in meV/atom: -1015